Density functional theory data (GGA-PBE) for crystalline AgIrOs3 at its relaxed geometry.

Cell: 4.7208 4.7208 4.7208 Å, 90.00 90.00 90.00°
Space group Pm-3m (No. 221)
Asymmetric unit:
Ag 0.0000 0.0000 0.0000 x1
Ir 0.5000 0.5000 0.5000 x1
Os 0.0000 0.5000 0.5000 x3

The formation energy comes out at 228.4 kJ/mol of atoms. Its total DFT energy (no corrections) is -6.71 eV per atom.

Density functional theory data (GGA-PBE) for crystalline Li2ZnCl4 at its relaxed geometry.

Cell: 4.9929 4.9929 12.6374 Å, 90.00 90.00 90.00°
Space group I4/mmm (No. 139)
Asymmetric unit:
Li 0.0000 0.0000 0.1324 x4
Zn 0.0000 0.0000 0.5000 x2
Cl 0.0000 0.0000 0.3133 x4
Cl 0.0000 0.5000 0.0000 x4

The calculation puts the energy relative to the elements, uncorrected at -9.1 eV per formula unit. Its total DFT energy (no corrections) is -3.08 eV per atom.

Density functional theory data (GGA-PBE) for crystalline Al4TlP at its relaxed geometry.

Cell: 7.7658 7.7658 7.7658 Å, 90.00 90.00 90.00°
Space group F-43m (No. 216)
Asymmetric unit:
Al 0.1241 0.1241 0.1241 x16
Tl 0.0000 0.0000 0.5000 x4
P 0.2500 0.2500 0.7500 x4

The formation energy comes out at 36.0 kJ/mol of atoms. Its total DFT energy (no corrections) is -3.42 eV per atom.

Density functional theory data (GGA-PBE) for crystalline PrMg3Cu at its relaxed geometry.

Cell: 8.4255 12.6055 4.3555 Å, 90.00 90.00 90.00°
Space group Cmmm (No. 65)
Asymmetric unit:
Pr 0.0000 0.2095 0.0000 x4
Mg 0.0000 0.0000 0.5000 x2
Mg 0.0000 0.5000 0.0000 x2
Mg 0.1960 0.3740 0.5000 x8
Cu 0.1892 0.0000 0.0000 x4

The formation energy comes out at -13.2 kJ/mol of atoms. Its total DFT energy (no corrections) is -2.87 eV per atom.